Compound: La2Sm7Er3
Source: Alexandria via LeMat-Bulk
Functional: GGA-PBE
Structure: optimized geometry

Lattice parameters (Å, degrees): 3.5656 6.4443 18.1795 75.34 90.00 90.00
Closest atoms and distances in Å follow each position.
Atoms (fractional coordinates):
Er 0.0000 0.8878 0.6583  2 Er 3.57, 7 Sm 3.61-3.76, 4 La 3.64-3.74
Er 0.0000 0.1122 0.3417  2 Er 3.57, 7 Sm 3.61-3.76, 4 La 3.64-3.74
Er 0.5000 0.5000 0.0000  10 Sm 3.55-3.68, 2 Er 3.57
La 0.5000 0.6116 0.3292  5 Sm 3.42-3.60, 2 La 3.57, 4 Er 3.64-3.74
La 0.5000 0.3884 0.6708  5 Sm 3.42-3.60, 2 La 3.57, 4 Er 3.64-3.74
Sm 0.5000 0.0621 0.1677  8 Sm 3.57-3.72, 1 La 3.57, 3 Er 3.59-3.71
Sm 0.0000 0.4405 0.8375  7 Sm 3.54-3.72, 3 Er 3.55-3.76, 2 La 3.60
Sm 0.0000 0.5595 0.1625  7 Sm 3.54-3.72, 3 Er 3.55-3.76, 2 La 3.60
Sm 0.5000 0.2385 0.5031  2 Sm 3.10-3.34, 2 La 3.42-3.45
Sm 0.0000 0.0000 0.0000  8 Sm 3.54-3.64, 4 Er 3.68
Sm 0.5000 0.9379 0.8323  8 Sm 3.57-3.72, 1 La 3.57, 3 Er 3.59-3.71
Sm 0.5000 0.7615 0.4969  2 Sm 3.10-3.34, 2 La 3.42-3.45

Summary:
**V**: 33.68 Å³/atom
**Offset from the most stable computed form**: 0 meV/atom
**Magnetic moment**: 0.00 μB per atom
**Formation enthalpy at 0 K**: 0.070 eV per atom